## InGa2Ir2 (PBE)

Data for crystalline InGa2Ir2 at its relaxed geometry.

Computed properties:
The calculation puts the offset from the most stable computed form at 1.201 eV per formula unit. Its final energy is -0.393 Ry/atom. The calculation puts the formation energy from the elements at -49 meV per atom.

a b c (Å): 5.8650 5.8650 5.8650
angles (deg): 137.57 137.57 61.56
With the nearest neighbours (Å) after each atom.
Sites, in units of the cell vectors:
1 In 0.0000 0.0000 0.0000  8 Ga 3.24, 8 Ir 3.29
2 Ga 0.3789 0.3789 0.0000  1 Ga 2.44, 4 Ir 2.49
3 Ga 0.6211 0.6211 0.0000  1 Ga 2.44, 4 Ir 2.49
4 Ir 0.2500 0.7500 0.5000  4 Ga 2.49
5 Ir 0.7500 0.2500 0.5000  4 Ga 2.49